Density functional theory data (PBE-GGA) for a relaxed Hf3PaTe2 crystal.

The raw formation energy comes out at -0.3352 eV/atom. The spin magnetization comes out at 0.02 μB per cell.

The structure belongs to space group C2/m (No. 12); the cell edges are 17.062, 3.582 and 10.139 Å and the angles 90.00°, 111.88° and 90.00°. The asymmetric unit holds Hf at (0.056, 0.000, 0.141), Hf at (0.133, 0.500, 0.961), Hf at (0.191, 0.500, 0.373), Pa at (0.113, 0.000, 0.580), Te at (0.006, 0.500, 0.320) and Te at (0.246, 0.000, 0.188).

Density functional theory data (PBE-GGA) for a relaxed CaSiSN2 crystal.

The raw formation energy comes out at 1.5048 eV/atom. The spin magnetization comes out at 4.00 μB per cell. The calculation puts the polymorph energy (0 for the lowest one) at 1.768 eV/atom.

The structure belongs to space group P4/mmm (No. 123); the cell edges are 4.442, 4.442 and 5.483 Å and the angles 90.00°, 90.00° and 90.00°. The asymmetric unit holds Ca at (0.000, 0.000, 0.000), Si at (0.500, 0.500, 0.500), S at (0.000, 0.000, 0.500) and N at (0.000, 0.500, 0.000).

Density functional theory data (PBE-GGA) for a relaxed Cs2SrTl2Te4 crystal.

The raw formation energy comes out at -0.8348 eV/atom. The spin magnetization comes out at 0.00 μB per cell.

The structure belongs to space group C2/m (No. 12); the cell edges are 18.308, 5.054 and 9.169 Å and the angles 90.00°, 109.94° and 90.00°. The asymmetric unit holds Cs at (0.126, 0.000, 0.064), Sr at (0.000, 0.000, 0.500), Tl at (0.171, 0.500, 0.479), Te at (0.007, 0.500, 0.259) and Te at (0.197, 0.000, 0.689).

Density functional theory data (PBE-GGA) for a relaxed Ba3YBi crystal.

The formation energy comes out at 0.4653 eV/atom. The spin magnetization comes out at 0.00 μB per cell. The calculation puts the polymorph energy (0 for the lowest one) at 0.390 eV/atom.

The structure belongs to space group Pm-3m (No. 221); the cell edges are 6.306, 6.306 and 6.306 Å and the angles 90.00°, 90.00° and 90.00°. The asymmetric unit holds Ba at (0.000, 0.000, 0.500), Y at (0.000, 0.000, 0.000) and Bi at (0.500, 0.500, 0.500).

Density functional theory data (PBE-GGA) for a relaxed MgWBr2 crystal.

The raw formation energy comes out at 0.4659 eV/atom. The spin magnetization comes out at 0.00 μB per cell. The calculation puts the polymorph energy (0 for the lowest one) at 0.509 eV/atom.

The structure belongs to space group Imm2 (No. 44); the cell edges are 3.119, 4.664 and 12.452 Å and the angles 90.00°, 90.00° and 90.00°. The asymmetric unit holds Mg at (0.000, 0.000, 0.000), W at (0.000, 0.500, 0.690), Br at (0.000, 0.000, 0.366) and Br at (0.000, 0.500, 0.164).

Density functional theory data (PBE-GGA) for a relaxed Th3Ge2Ru3 crystal.

The formation energy comes out at -0.5860 eV/atom. The spin magnetization comes out at 0.00 μB per cell.

The structure belongs to space group Cmcm (No. 63); the cell edges are 4.326, 10.635 and 14.786 Å and the angles 90.00°, 90.00° and 90.00°. The asymmetric unit holds Th at (0.000, 0.090, 0.109), Th at (0.000, 0.377, 0.250), Ge at (0.000, 0.197, 0.606), Ru at (0.000, 0.347, 0.750) and Ru at (0.000, 0.350, 0.028).

Density functional theory data (PBE-GGA) for a relaxed NaLa2Ho crystal.

The formation energy comes out at 0.1211 eV/atom. The spin magnetization comes out at 0.00 μB per cell. The calculation puts the polymorph energy (0 for the lowest one) at 0.023 eV/atom.

The structure belongs to space group R-3m (No. 166, hexagonal axes); the cell edges are 3.5979, 3.5979 and 39.1785 Å and the angles 90.00°, 90.00° and 120.00°. The asymmetric unit holds Na at (0.0000, 0.0000, 0.0000), La at (0.0000, 0.0000, 0.0925) and Ho at (0.0000, 0.0000, 0.5000).

Density functional theory data (PBE-GGA) for a relaxed TmZrTcRu crystal.

The formation energy comes out at -0.3102 eV/atom. The spin magnetization comes out at 0.00 μB per cell.

The structure belongs to space group F-43m (No. 216); the cell edges are 6.647, 6.647 and 6.647 Å and the angles 90.00°, 90.00° and 90.00°. The asymmetric unit holds Tm at (0.000, 0.000, 0.000), Zr at (0.000, 0.000, 0.500), Tc at (0.250, 0.250, 0.250) and Ru at (0.250, 0.250, 0.750).

Density functional theory data (PBE-GGA) for a relaxed NdIn6 crystal.

The formation energy comes out at 0.3782 eV/atom. The spin magnetization comes out at 0.00 μB per cell.

The structure belongs to space group Im-3m (No. 229); the cell edges are 7.928, 7.928 and 7.928 Å and the angles 90.00°, 90.00° and 90.00°. The asymmetric unit holds Nd at (0.000, 0.000, 0.000) and In at (0.000, 0.250, 0.500).

Density functional theory data (PBE-GGA) for a relaxed CaRhF2 crystal.

The raw formation energy comes out at -1.9770 eV/atom. The spin magnetization comes out at 3.00 μB per cell. The calculation puts the polymorph energy (0 for the lowest one) at 0.000 eV/atom.

The structure belongs to space group R-3m (No. 166, hexagonal axes); the cell edges are 3.6282, 3.6282 and 18.2828 Å and the angles 90.00°, 90.00° and 120.00°. The asymmetric unit holds Ca at (0.0000, 0.0000, 0.0000), Rh at (0.0000, 0.0000, 0.5000) and F at (0.0000, 0.0000, 0.3804).

Density functional theory data (PBE-GGA) for a relaxed CeInSn crystal.

The formation energy comes out at -0.2051 eV/atom. The spin magnetization comes out at 2.18 μB per cell. The calculation puts the polymorph energy (0 for the lowest one) at 0.263 eV/atom.

The structure belongs to space group I4mm (No. 107); the cell edges are 4.370, 4.370 and 9.205 Å and the angles 90.00°, 90.00° and 90.00°. The asymmetric unit holds Ce at (0.000, 0.000, 0.000), In at (0.000, 0.000, 0.662) and Sn at (0.000, 0.000, 0.344).